Compound: VBrO2
Source: the Alexandria database
Functional: PBE+U
Structure: relaxed

abc: 2.9654 2.9654 29.2258
angles: 90.00 90.00 120.00
With the nearest neighbours (Å) after each atom.
Space group R-3m (No. 166, hexagonal axes)
Inequivalent atoms, fractional coordinates:
V 0.0000 0.0000 0.0000  6 O 1.97
Br 0.0000 0.0000 0.5000  6 Br 2.97
O 0.0000 0.0000 0.3669  3 V 1.97

## Properties
N(E_F)	0.933	states/eV per atom
mass density	3.64	g/cm3
magnetization	1.0	μB/f.u.
distance to the lowest polymorph of the same formula	0	meV/atom